Here is a relaxed In3Cu crystal from Alexandria via LeMat-Bulk. Energies are from PBE.

Properties
- Mass density: 7.12 g/cm3
- Calculated formation energy: 0.16 eV per atom
- DFT total energy: -2.921 eV/atom
- Space-group type: P6_3/mmc
- Spin magnetization: 0.00 μB per cell

Cell: 7.1888 7.1888 4.2536 Å, 90.00 90.00 120.00°
Last column: nearest neighbours and their distance in Å.
Fractional coordinates of all 8 atoms:
In (0.1829, 0.3659, 0.2500)  2 Cu 2.83, 4 In 3.12
In (0.1829, 0.8171, 0.2500)  2 Cu 2.83, 4 In 3.12
In (0.3659, 0.1829, 0.7500)  2 Cu 2.83, 4 In 3.12
In (0.6341, 0.8171, 0.2500)  2 Cu 2.83, 4 In 3.12
In (0.8171, 0.1829, 0.7500)  2 Cu 2.83, 4 In 3.12
In (0.8171, 0.6341, 0.7500)  2 Cu 2.83, 4 In 3.12
Cu (0.3333, 0.6667, 0.7500)  6 In 2.83
Cu (0.6667, 0.3333, 0.2500)  6 In 2.83

***

Here is a relaxed In3Cu7 crystal from Alexandria via LeMat-Bulk. Energies are from PBE.

Properties
- Mass density: 8.75 g/cm3
- Calculated formation energy: 0.06 eV per atom
- DFT total energy: -3.627 eV/atom
- Space-group type: P-1
- Spin magnetization: 0.00 μB per cell

Cell: 3.9772 5.5196 7.3335 Å, 104.41 105.57 90.11°
Last column: nearest neighbours and their distance in Å.
Fractional coordinates of all 10 atoms:
In (0.0000, 0.0000, 0.0000)  12 Cu 2.72-2.79
In (0.1951, 0.6201, 0.3911)  10 Cu 2.65-2.87
In (0.8049, 0.3799, 0.6089)  10 Cu 2.65-2.87
Cu (0.0000, 0.5000, 0.0000)  4 In 2.67-2.76, 8 Cu 2.75-2.76
Cu (0.1982, 0.1033, 0.3983)  5 In 2.65-2.87, 7 Cu 2.73-2.87
Cu (0.4021, 0.1924, 0.8037)  8 Cu 2.64-2.78, 4 In 2.76-2.79
Cu (0.4045, 0.6906, 0.8088)  7 Cu 2.64-2.87, 5 In 2.74-2.87
Cu (0.5955, 0.3094, 0.1912)  7 Cu 2.64-2.87, 5 In 2.74-2.87
Cu (0.5979, 0.8076, 0.1963)  8 Cu 2.64-2.78, 4 In 2.76-2.79
Cu (0.8018, 0.8967, 0.6017)  5 In 2.65-2.87, 7 Cu 2.73-2.87

***

Here is a relaxed InCu crystal from Alexandria via LeMat-Bulk. Energies are from PBE.

Properties
- Mass density: 7.95 g/cm3
- Calculated formation energy: 0.10 eV per atom
- DFT total energy: -3.320 eV/atom
- Space-group type: I4/mmm
- Spin magnetization: 0.00 μB per cell

Cell: 6.2307 6.2307 6.2307 Å, 97.10 97.10 138.82°
Last column: nearest neighbours and their distance in Å.
Fractional coordinates of all 8 atoms:
In (0.0000, 0.2820, 0.2820)  6 Cu 2.75-2.83
In (0.0000, 0.7180, 0.7180)  6 Cu 2.75-2.83
In (0.2820, 0.0000, 0.2820)  6 Cu 2.75-2.83
In (0.7180, 0.0000, 0.7180)  6 Cu 2.75-2.83
Cu (0.3382, 0.3382, 0.6764)  2 Cu 2.67, 6 In 2.75-2.83
Cu (0.3382, 0.6618, 0.0000)  2 Cu 2.67, 6 In 2.75-2.83
Cu (0.6618, 0.3382, 0.0000)  2 Cu 2.67, 6 In 2.75-2.83
Cu (0.6618, 0.6618, 0.3236)  2 Cu 2.67, 6 In 2.75-2.83

***

Here is a relaxed InCu crystal from Alexandria via LeMat-Bulk. Energies are from PBE.

Properties
- Mass density: 7.94 g/cm3
- Calculated formation energy: 0.06 eV per atom
- DFT total energy: -3.355 eV/atom
- Space-group type: Cm
- Spin magnetization: 0.00 μB per cell

Cell: 6.7107 6.7107 6.6307 Å, 119.29 119.29 25.67°
Last column: nearest neighbours and their distance in Å.
Fractional coordinates of all 6 atoms:
In (0.0000, 0.0000, 0.0000)  5 Cu 2.71-2.84, 2 In 2.98
In (0.2963, 0.2963, 0.4820)  5 Cu 2.81-2.83, 2 In 2.98
In (0.5935, 0.5935, 0.5941)  5 Cu 2.72-2.85, 2 In 2.98
Cu (0.2969, 0.2969, 0.9096)  4 Cu 2.61-2.62, 5 In 2.83-2.85
Cu (0.6875, 0.6875, 0.0641)  3 Cu 2.47-2.61, 3 In 2.72
Cu (0.9060, 0.9060, 0.2833)  3 Cu 2.47-2.62, 3 In 2.71-2.72

***

Here is a relaxed In3Cu2 crystal from Alexandria via LeMat-Bulk. Energies are from PBE.

Properties
- Mass density: 7.28 g/cm3
- Calculated formation energy: 0.10 eV per atom
- DFT total energy: -3.185 eV/atom
- Space-group type: R-3c
- Spin magnetization: 0.00 μB per cell

Cell: 7.0695 7.0695 7.0695 Å, 54.06 54.06 54.06°
Last column: nearest neighbours and their distance in Å.
Fractional coordinates of all 10 atoms:
In (0.1273, 0.7500, 0.3727)  4 Cu 2.67-2.73
In (0.2500, 0.6273, 0.8727)  4 Cu 2.67-2.73
In (0.3727, 0.1273, 0.7500)  4 Cu 2.67-2.73
In (0.6273, 0.8727, 0.2500)  4 Cu 2.67-2.73
In (0.7500, 0.3727, 0.1273)  4 Cu 2.67-2.73
In (0.8727, 0.2500, 0.6273)  4 Cu 2.67-2.73
Cu (0.1803, 0.1803, 0.1803)  1 Cu 2.52, 6 In 2.67-2.73
Cu (0.3197, 0.3197, 0.3197)  1 Cu 2.52, 6 In 2.67-2.73
Cu (0.6803, 0.6803, 0.6803)  1 Cu 2.52, 6 In 2.67-2.73
Cu (0.8197, 0.8197, 0.8197)  1 Cu 2.52, 6 In 2.67-2.73

***

Here is a relaxed InCu crystal from Alexandria via LeMat-Bulk. Energies are from PBE.

Properties
- Mass density: 7.41 g/cm3
- Calculated formation energy: 0.22 eV per atom
- DFT total energy: -3.193 eV/atom
- Space-group type: P4_2/mnm
- Spin magnetization: 0.00 μB per cell

Cell: 5.2282 5.2282 5.8531 Å, 90.00 90.00 90.00°
Last column: nearest neighbours and their distance in Å.
Fractional coordinates of all 8 atoms:
In (0.1957, 0.1957, 0.0000)  6 Cu 2.63-2.93, 1 In 2.89
In (0.3043, 0.6957, 0.5000)  6 Cu 2.63-2.93, 1 In 2.89
In (0.6957, 0.3043, 0.5000)  6 Cu 2.63-2.93, 1 In 2.89
In (0.8043, 0.8043, 0.0000)  6 Cu 2.63-2.93, 1 In 2.89
Cu (0.1830, 0.1830, 0.5000)  6 In 2.63-2.93, 1 Cu 2.71
Cu (0.3170, 0.6830, 0.0000)  6 In 2.63-2.93, 1 Cu 2.71
Cu (0.6830, 0.3170, 0.0000)  6 In 2.63-2.93, 1 Cu 2.71
Cu (0.8170, 0.8170, 0.5000)  6 In 2.63-2.93, 1 Cu 2.71